Material: V2PbO6
Method: DFT, GGA-PBEsol
State: relaxed

abc: 9.786 3.621 12.638
angles: 90.00 90.00 90.00
Fractional positions:
1 V 0.007 0.250 0.126
2 V 0.239 0.250 0.910
3 V 0.261 0.750 0.410
4 V 0.493 0.750 0.626
5 V 0.507 0.250 0.374
6 V 0.739 0.250 0.590
7 V 0.761 0.750 0.090
8 V 0.993 0.750 0.874
9 Pb 0.129 0.250 0.620
10 Pb 0.371 0.750 0.120
11 Pb 0.629 0.250 0.880
12 Pb 0.871 0.750 0.380
13 O 0.018 0.750 0.745
14 O 0.029 0.250 0.911
15 O 0.107 0.750 0.473
16 O 0.176 0.250 0.102
17 O 0.189 0.750 0.931
18 O 0.226 0.750 0.284
19 O 0.274 0.250 0.784
20 O 0.311 0.250 0.431
21 O 0.324 0.750 0.602
22 O 0.393 0.250 0.973
23 O 0.471 0.750 0.411
24 O 0.482 0.250 0.245
25 O 0.518 0.750 0.755
26 O 0.529 0.250 0.589
27 O 0.607 0.750 0.027
28 O 0.676 0.250 0.398
29 O 0.689 0.750 0.569
30 O 0.726 0.750 0.216
31 O 0.774 0.250 0.716
32 O 0.811 0.250 0.069
33 O 0.824 0.750 0.898
34 O 0.893 0.250 0.527
35 O 0.971 0.750 0.089
36 O 0.982 0.250 0.255

ρ   6.01 g/cm3
Energy above the most stable polymorph in this dataset   0.0083 eV per atom
V   12.4 Å³ per atom
SG   Pnma, No. 62
Electronic total energy   -8.187 eV/atom
Formation energy without anion corrections   -2102 meV/atom

---

Material: LaPO4
Method: DFT, GGA-PBEsol
State: relaxed

abc: 6.467 7.055 8.239
angles: 90.00 126.31 90.00
Fractional positions:
1 La 0.181 0.159 0.283
2 La 0.181 0.341 0.783
3 La 0.819 0.659 0.217
4 La 0.819 0.841 0.717
5 P 0.308 0.663 0.195
6 P 0.308 0.837 0.695
7 P 0.692 0.163 0.305
8 P 0.692 0.337 0.805
9 O 0.115 0.668 0.618
10 O 0.115 0.832 0.118
11 O 0.194 0.506 0.251
12 O 0.194 0.994 0.751
13 O 0.332 0.607 0.025
14 O 0.332 0.893 0.525
15 O 0.416 0.215 0.127
16 O 0.416 0.285 0.627
17 O 0.584 0.715 0.373
18 O 0.584 0.785 0.873
19 O 0.668 0.107 0.475
20 O 0.668 0.393 0.975
21 O 0.806 0.006 0.249
22 O 0.806 0.494 0.749
23 O 0.885 0.168 0.882
24 O 0.885 0.332 0.382

ρ   5.13 g/cm3
V   12.6 Å³ per atom
SG   P2_1/c, No. 14
Electronic total energy   -8.426 eV/atom
Formation energy without anion corrections   -3070 meV/atom

---

Material: Mg2SiMo
Method: DFT, GGA-PBEsol
State: relaxed

abc: 2.822 4.161 5.709
angles: 90.00 100.50 90.00
Fractional positions:
1 Mg 0.000 0.000 0.000
2 Mg 0.385 0.500 0.746
3 Si 0.081 0.000 0.457
4 Mo 0.612 0.500 0.287

ρ   4.35 g/cm3
V   16.5 Å³ per atom
SG   Pm, No. 6
Electronic total energy   -5.128 eV/atom
Formation energy without anion corrections   109 meV/atom

---

Material: CaFeF5
Method: DFT, GGA-PBEsol
State: relaxed

abc: 5.549 5.549 7.653
angles: 110.31 110.31 71.26
Fractional positions:
1 Ca 0.046 0.954 0.750
2 Ca 0.954 0.046 0.250
3 Fe 0.500 0.500 0.000
4 Fe 0.500 0.500 0.500
5 F 0.191 0.786 0.031
6 F 0.214 0.809 0.469
7 F 0.250 0.290 0.381
8 F 0.290 0.250 0.881
9 F 0.416 0.584 0.750
10 F 0.584 0.416 0.250
11 F 0.710 0.750 0.119
12 F 0.750 0.710 0.619
13 F 0.786 0.191 0.531
14 F 0.809 0.214 0.969

ρ   3.14 g/cm3
V   14.4 Å³ per atom
SG   C2/c, No. 15
Electronic total energy   -5.866 eV/atom
Formation energy without anion corrections   -2904 meV/atom

---

Material: YSc2Cr
Method: DFT, GGA-PBEsol
State: relaxed

abc: 3.248 3.248 8.316
angles: 90.00 90.00 90.00
Fractional positions:
1 Y 0.000 0.000 0.000
2 Sc 0.500 0.500 0.309
3 Sc 0.500 0.500 0.691
4 Cr 0.000 0.000 0.500

ρ   4.37 g/cm3
Energy above the most stable polymorph in this dataset   0.0000 eV per atom
V   21.9 Å³ per atom
SG   P4/mmm, No. 123
Calculated formation energy   0.230 eV per atom
Electronic total energy   -7.338 eV/atom

---

Material: CaSi2Ni2
Method: DFT, GGA-PBEsol
State: relaxed

abc: 5.545 5.545 5.545
angles: 138.39 138.39 60.31
Fractional positions:
1 Ca 0.000 0.000 0.000
2 Si 0.370 0.370 0.000
3 Si 0.630 0.630 0.000
4 Ni 0.250 0.750 0.500
5 Ni 0.750 0.250 0.500

ρ   4.77 g/cm3
V   14.9 Å³ per atom
SG   I4/mmm, No. 139
Electronic total energy   -5.883 eV/atom
Formation energy without anion corrections   -695 meV/atom

---

Material: Mn2ZnOs
Method: DFT, GGA-PBEsol
State: relaxed

abc: 2.664 2.664 6.968
angles: 90.00 90.00 90.00
Fractional positions:
1 Mn 0.000 0.000 0.247
2 Mn 0.000 0.000 0.753
3 Zn 0.500 0.500 0.500
4 Os 0.500 0.500 0.000

ρ   12.28 g/cm3
V   12.4 Å³ per atom
SG   P4/mmm, No. 123
Calculated formation energy   0.111 eV per atom
Electronic total energy   -8.219 eV/atom

---

Material: SrAl2Co
Method: DFT, GGA-PBEsol
State: relaxed

abc: 4.702 4.702 4.702
angles: 60.00 60.00 60.00
Fractional positions:
1 Sr 0.000 0.000 0.000
2 Al 0.500 0.500 0.500
3 Al 0.750 0.750 0.750
4 Co 0.250 0.250 0.250

ρ   4.53 g/cm3
V   18.4 Å³ per atom
SG   F-43m, No. 216
Calculated formation energy   0.282 eV per atom
Electronic total energy   -4.158 eV/atom

---

Material: K2FeOs
Method: DFT, GGA-PBEsol
State: relaxed

abc: 2.652 5.634 5.021
angles: 90.00 94.81 90.00
Fractional positions:
1 K 0.226 0.000 0.252
2 K 0.774 0.000 0.748
3 Fe 0.000 0.500 0.500
4 Os 0.500 0.500 0.000

ρ   7.20 g/cm3
Energy above the most stable polymorph in this dataset   0.5614 eV per atom
V   18.7 Å³ per atom
SG   P2/m, No. 10
Calculated formation energy   1.375 eV per atom
Electronic total energy   -4.487 eV/atom

---

Material: Ag3BiN
Method: DFT, GGA-PBEsol
State: relaxed

abc: 5.344 5.344 5.344
angles: 90.00 90.00 90.00
Fractional positions:
1 Ag 0.000 0.000 0.500
2 Ag 0.000 0.500 0.000
3 Ag 0.500 0.000 0.000
4 Bi 0.000 0.000 0.000
5 N 0.500 0.500 0.500

ρ   5.95 g/cm3
V   30.5 Å³ per atom
SG   Pm-3m, No. 221
Electronic total energy   -2.961 eV/atom
Formation energy without anion corrections   1588 meV/atom

---

Material: SrInOs2
Method: DFT, GGA-PBEsol
State: relaxed

abc: 5.128 2.855 5.374
angles: 90.00 112.18 90.00
Fractional positions:
1 Sr 0.000 0.000 0.000
2 In 0.000 0.500 0.500
3 Os 0.500 0.000 0.500
4 Os 0.500 0.500 0.000

ρ   13.29 g/cm3
V   18.2 Å³ per atom
SG   P2/m, No. 10
Calculated formation energy   0.929 eV per atom
Electronic total energy   -6.385 eV/atom

---

Material: Sr14Sn3As12
Method: DFT, GGA-PBEsol
State: relaxed

abc: 9.430 9.430 9.430
angles: 87.15 87.15 87.15
Fractional positions:
1 Sr 0.009 0.009 0.009
2 Sr 0.021 0.878 0.380
3 Sr 0.142 0.628 0.783
4 Sr 0.144 0.261 0.595
5 Sr 0.261 0.595 0.144
6 Sr 0.371 0.872 0.518
7 Sr 0.380 0.021 0.878
8 Sr 0.518 0.371 0.872
9 Sr 0.595 0.144 0.261
10 Sr 0.628 0.783 0.142
11 Sr 0.783 0.142 0.628
12 Sr 0.794 0.794 0.794
13 Sr 0.872 0.518 0.371
14 Sr 0.878 0.380 0.021
15 Sn 0.218 0.218 0.218
16 Sn 0.441 0.441 0.441
17 Sn 0.606 0.606 0.606
18 As 0.080 0.950 0.692
19 As 0.192 0.577 0.467
20 As 0.195 0.311 0.937
21 As 0.311 0.937 0.195
22 As 0.463 0.704 0.835
23 As 0.467 0.192 0.577
24 As 0.577 0.467 0.192
25 As 0.692 0.080 0.950
26 As 0.704 0.835 0.463
27 As 0.835 0.463 0.704
28 As 0.937 0.195 0.311
29 As 0.950 0.692 0.080

ρ   4.93 g/cm3
V   28.8 Å³ per atom
SG   R3, No. 146
Calculated formation energy   -1.032 eV per atom
Electronic total energy   -4.474 eV/atom

---

Material: KAgRu2
Method: DFT, GGA-PBEsol
State: relaxed

abc: 4.275 4.275 7.443
angles: 93.15 93.15 36.84
Fractional positions:
1 K 0.000 0.000 0.000
2 Ag 0.761 0.761 0.327
3 Ru 0.238 0.238 0.671
4 Ru 0.495 0.495 0.550

ρ   7.12 g/cm3
Energy above the most stable polymorph in this dataset   0.0000 eV per atom
V   20.3 Å³ per atom
SG   Cm, No. 8
Calculated formation energy   0.736 eV per atom
Electronic total energy   -5.461 eV/atom